First-principles (PBE) data for a relaxed La2NdHo2 crystal, as listed in the Alexandria database.

For the energy above the most stable polymorph in this dataset, the calculation gives 0 meV per atom. The formation energy comes out at 1.0 eV/f.u. The calculation puts the raw total energy at -22.779 eV per formula unit. Its total moment is 0.0 μB/cell.

The space group is P6_3/mmc (No. 194) and the conventional cell measures 5.7580, 5.7580 and 12.2861 Å, with angles of 90.00, 90.00 and 120.00 degrees. Symmetry generates all atoms from La at (0.3333, 0.6667, 0.1015), Nd at (0.0000, 0.0000, 0.2500), Ho at (0.0000, 0.0000, 0.0000) and Ho at (0.3333, 0.6667, 0.7500).

First-principles (PBE) data for a relaxed NaHgPd3 crystal, as listed in the Alexandria database.

For the energy above the most stable polymorph in this dataset, the calculation gives 737 meV per atom. The formation energy comes out at 3.9 eV/f.u. The calculation puts the raw total energy at -13.328 eV per formula unit. Its total moment is 0.0 μB/cell.

The space group is Pm-3m (No. 221) and the conventional cell measures 4.6621, 4.6621 and 4.6621 Å, with angles of 90.00, 90.00 and 90.00 degrees. Symmetry generates all atoms from Na at (0.0000, 0.0000, 0.0000), Hg at (0.5000, 0.5000, 0.5000) and Pd at (0.0000, 0.0000, 0.5000).

First-principles (PBE) data for a relaxed RbCaCl3 crystal, as listed in the Alexandria database.

The calculation puts the raw total energy at -18.217 eV per formula unit. Its total moment is 0.0 μB/cell. Its energy relative to the elements, uncorrected is -1.94 eV/atom.

The space group is R3m (No. 160, hexagonal axes) and the conventional cell measures 8.9146, 8.9146 and 12.2522 Å, with angles of 90.00, 90.00 and 120.00 degrees. Symmetry generates all atoms from Rb at (0.0000, 0.0000, 0.0000), Ca at (0.0000, 0.0000, 0.3139) and Cl at (0.1872, 0.3744, 0.8842).

First-principles (PBE) data for a relaxed Rh2PbF8 crystal, as listed in the Alexandria database.

The calculation puts the raw total energy at -49.398 eV per formula unit. Its total moment is 5.8 μB/cell. Its energy relative to the elements, uncorrected is -1.46 eV/atom.

The space group is P-3 (No. 147) and the conventional cell measures 7.2765, 7.2765 and 4.1148 Å, with angles of 90.00, 90.00 and 120.00 degrees. Symmetry generates all atoms from Rh at (0.3333, 0.6667, 0.2677), Pb at (0.0000, 0.0000, 0.0000), F at (0.1723, 0.8255, 0.2686) and F at (0.3333, 0.6667, 0.7675).

First-principles (PBE) data for a relaxed SnTeAuI2 crystal, as listed in the Alexandria database.

For the energy above the most stable polymorph in this dataset, the calculation gives 0 meV per atom. The calculation puts the raw total energy at -12.564 eV per formula unit. Its total moment is 0.0 μB/cell. Its energy relative to the elements, uncorrected is 0.19 eV/atom.

The space group is P4/mmm (No. 123) and the conventional cell measures 5.5354, 5.5354 and 5.6805 Å, with angles of 90.00, 90.00 and 90.00 degrees. Symmetry generates all atoms from Sn at (0.0000, 0.0000, 0.0000), Te at (0.5000, 0.5000, 0.0000), Au at (0.5000, 0.5000, 0.5000) and I at (0.0000, 0.5000, 0.5000).

First-principles (PBE) data for a relaxed ErTlPb crystal, as listed in the Alexandria database.

For the energy above the most stable polymorph in this dataset, the calculation gives 109 meV per atom. The formation energy comes out at -0.5 eV/f.u. The calculation puts the raw total energy at -11.129 eV per formula unit. Its total moment is 0.0 μB/cell.

The space group is Pnma (No. 62) and the conventional cell measures 17.4620, 5.4078 and 3.6597 Å, with angles of 90.00, 90.00 and 90.00 degrees. Symmetry generates all atoms from Er at (0.1534, 0.2500, 0.2489), Tl at (0.1685, 0.7500, 0.7484) and Pb at (0.0048, 0.7500, 0.2500).

First-principles (PBE) data for a relaxed Cs2Sm2UTe6 crystal, as listed in the Alexandria database.

The calculation puts the raw total energy at -54.496 eV per formula unit. Its total moment is 4.0 μB/cell. Its energy relative to the elements, uncorrected is -1.20 eV/atom.

The space group is C2/m (No. 12) and the conventional cell measures 7.8333, 13.5273 and 9.5554 Å, with angles of 90.00, 106.21 and 90.00 degrees. Symmetry generates all atoms from Cs at (0.0000, 0.1692, 0.0000), Sm at (0.0000, 0.3325, 0.5000), U at (0.0000, 0.0000, 0.5000), Te at (0.2289, 0.1620, 0.6904) and Te at (0.2385, 0.5000, 0.6888).

First-principles (PBE) data for a relaxed Pa3Ga2Ni3 crystal, as listed in the Alexandria database.

For the energy above the most stable polymorph in this dataset, the calculation gives 0 meV per atom. The formation energy comes out at -2.9 eV/f.u. The calculation puts the raw total energy at -54.800 eV per formula unit. Its total moment is 0.0 μB/cell.

The space group is Pnma (No. 62) and the conventional cell measures 7.3558, 13.6271 and 5.9757 Å, with angles of 90.00, 90.00 and 90.00 degrees. Symmetry generates all atoms from Pa at (0.0500, 0.1108, 0.1465), Pa at (0.0976, 0.7500, 0.3670), Ga at (0.1939, 0.0914, 0.6282), Ni at (0.1231, 0.5576, 0.4370) and Ni at (0.2486, 0.2500, 0.3980).

First-principles (PBE) data for a relaxed CeS2O8 crystal, as listed in the Alexandria database.

For the energy above the most stable polymorph in this dataset, the calculation gives 0 meV per atom. The calculation puts the raw total energy at -74.974 eV per formula unit. Its total moment is 0.0 μB/cell. Its energy relative to the elements, uncorrected is -1.92 eV/atom.

The space group is Pbca (No. 61) and the conventional cell measures 9.1693, 13.7303 and 9.5579 Å, with angles of 90.00, 90.00 and 90.00 degrees. Symmetry generates all atoms from Ce at (0.2187, 0.1032, 0.0359), S at (0.0016, 0.0549, 0.7214), S at (0.1749, 0.6577, 0.3955), O at (0.0150, 0.6699, 0.4133), O at (0.0853, 0.6168, 0.8746), O at (0.0856, 0.5166, 0.1385), O at (0.0979, 0.1167, 0.8082), O at (0.1005, 0.5012, 0.6845), O at (0.2174, 0.6791, 0.2480), O at (0.2186, 0.5570, 0.4313) and O at (0.2484, 0.2280, 0.4880).

First-principles (PBE) data for a relaxed IrPtN2O crystal, as listed in the Alexandria database.

The calculation puts the raw total energy at -27.155 eV per formula unit. Its total moment is 0.5 μB/cell. Its energy relative to the elements, uncorrected is 1.87 eV/atom.

The space group is P4/mmm (No. 123) and the conventional cell measures 3.8656, 3.8656 and 4.0512 Å, with angles of 90.00, 90.00 and 90.00 degrees. Symmetry generates all atoms from Ir at (0.0000, 0.0000, 0.0000), Pt at (0.5000, 0.5000, 0.5000), N at (0.0000, 0.5000, 0.5000) and O at (0.5000, 0.5000, 0.0000).